Computed, not measured: a relaxed NpFe2Ag2O6 crystal at the PBE with a Hubbard U level of DFT.

Volume, A^3/atom: 13.537
Total DFT energy (no corrections), eV/atom: -6.61
Total moment, μB per cell: 2.000

Lattice parameters (Å, degrees): 5.4626 9.1767 6.2434 90.00 107.90 90.00
Space group C2/m (No. 12)
Asymmetric unit:
1 Np 0.0000 0.0000 0.0000
2 Fe 0.0000 0.3334 0.0000
3 Ag 0.0000 0.3175 0.5000
4 O 0.1039 0.1687 0.8187
5 O 0.1038 0.5000 0.8140